<one>
Computed, not measured: an optimized crystal structure of AcNbTl at the PBE level of DFT.

abc: 5.3169 5.3169 5.3169
angles: 60.00 60.00 60.00
With the nearest neighbours (Å) after each atom.
Sites, in units of the cell vectors:
Nb: 0.2500 0.2500 0.2500  4 Ac 3.26
Tl: 0.7500 0.7500 0.7500  4 Ac 3.26
Ac: 0.0000 0.0000 0.0000  4 Tl 3.26, 4 Nb 3.26

For the volume, the calculation gives 106 Å³ per cell. As for the size of the total moment: 3.1 Bohr magnetons per cell.


<two>
Computed, not measured: an optimized crystal structure of AcNbTl at the PBE level of DFT.

abc: 5.1362 5.1362 5.1362
angles: 60.00 60.00 60.00
With the nearest neighbours (Å) after each atom.
Sites, in units of the cell vectors:
Tl: 0.7500 0.7500 0.7500  4 Nb 3.15
Ac: 0.2500 0.2500 0.2500  4 Nb 3.15
Nb: 0.0000 0.0000 0.0000  4 Tl 3.15, 4 Ac 3.15

For the volume, the calculation gives 96 Å³ per cell. As for the size of the total moment: 3.0 Bohr magnetons per cell.


Most stable structure - <two>; separation to the second - 41.4 kJ/mol of atoms.